[1]
This record from the Open Quantum Materials Database describes NaCdTe after structural relaxation. The functional is GGA-PBE.

a = 5.1773 Å, b = 5.1773 Å, c = 5.1773 Å
α = 60.00°, β = 60.00°, γ = 60.00°
Atoms (fractional coordinates):
1 Na 0.0000 0.0000 0.0000
2 Cd 0.5000 0.5000 0.5000
3 Te 0.7500 0.7500 0.7500

## Properties
Calculated total energy, eV for the cell shown: -6.48
Space-group type: F-43m, No. 216



[2]
This record from the Open Quantum Materials Database describes Na4TlCd3 after structural relaxation. The functional is GGA-PBE.

a = 5.1795 Å, b = 5.1795 Å, c = 7.3484 Å
α = 90.00°, β = 90.00°, γ = 90.00°
Atoms (fractional coordinates):
1 Na 0.0000 0.0000 0.0000
2 Na 0.0000 0.5000 0.7468
3 Na 0.5000 0.0000 0.2532
4 Na 0.5000 0.5000 0.5000
5 Tl 0.5000 0.5000 0.0000
6 Cd 0.0000 0.0000 0.5000
7 Cd 0.0000 0.5000 0.2575
8 Cd 0.5000 0.0000 0.7425

## Properties
Calculated total energy, eV for the cell shown: -11.23
Space-group type: P-4m2, No. 115



[3]
This record from the Open Quantum Materials Database describes Na4TlCd2 after structural relaxation. The functional is GGA-PBE.

a = 7.3668 Å, b = 7.3668 Å, c = 7.3668 Å
α = 97.63°, β = 97.63°, γ = 137.27°
Atoms (fractional coordinates):
1 Na 0.0000 0.2235 0.2235
2 Na 0.0000 0.7765 0.7765
3 Na 0.2235 0.0000 0.2235
4 Na 0.7765 0.0000 0.7765
5 Tl 0.5000 0.5000 0.0000
6 Cd 0.2500 0.7500 0.5000
7 Cd 0.7500 0.2500 0.5000

## Properties
Calculated total energy, eV for the cell shown: -8.16
Space-group type: I4/mmm, No. 139



[4]
This record from the Open Quantum Materials Database describes Na4Tl3Cd after structural relaxation. The functional is GGA-PBE.

a = 5.2976 Å, b = 5.2976 Å, c = 7.4966 Å
α = 90.00°, β = 90.00°, γ = 90.00°
Atoms (fractional coordinates):
1 Na 0.0000 0.0000 0.0000
2 Na 0.0000 0.5000 0.7483
3 Na 0.5000 0.0000 0.2517
4 Na 0.5000 0.5000 0.5000
5 Tl 0.0000 0.5000 0.2552
6 Tl 0.5000 0.0000 0.7448
7 Tl 0.5000 0.5000 0.0000
8 Cd 0.0000 0.0000 0.5000

## Properties
Calculated total energy, eV for the cell shown: -14.27
Space-group type: P-4m2, No. 115



[5]
This record from the Open Quantum Materials Database describes Na8TlCd2 after structural relaxation. The functional is GGA-PBE.

a = 5.3710 Å, b = 5.3710 Å, c = 12.3481 Å
α = 102.36°, β = 102.36°, γ = 60.03°
Atoms (fractional coordinates):
1 Na 0.0910 0.0910 0.2727
2 Na 0.1811 0.1811 0.5428
3 Na 0.2727 0.2727 0.8179
4 Na 0.3648 0.3648 0.0943
5 Na 0.6352 0.6352 0.9057
6 Na 0.7273 0.7273 0.1821
7 Na 0.8189 0.8189 0.4572
8 Na 0.9090 0.9090 0.7273
9 Tl 0.0000 0.0000 0.0000
10 Cd 0.4575 0.4575 0.3727
11 Cd 0.5425 0.5425 0.6273

## Properties
Calculated total energy, eV for the cell shown: -15.22
Space-group type: C2/m, No. 12



[6]
This record from the Open Quantum Materials Database describes NaCdW after structural relaxation. The functional is GGA-PBE.

a = 4.8293 Å, b = 4.8293 Å, c = 4.8293 Å
α = 60.00°, β = 60.00°, γ = 60.00°
Atoms (fractional coordinates):
1 Na 0.0000 0.0000 0.0000
2 Cd 0.5000 0.5000 0.5000
3 W 0.7500 0.7500 0.7500

## Properties
Calculated total energy, eV for the cell shown: -9.79
Space-group type: F-43m, No. 216



[7]
This record from the Open Quantum Materials Database describes NaZnCd after structural relaxation. The functional is GGA-PBE.

a = 4.8025 Å, b = 4.8025 Å, c = 4.8025 Å
α = 60.00°, β = 60.00°, γ = 60.00°
Atoms (fractional coordinates):
1 Na 0.0000 0.0000 0.0000
2 Zn 0.2500 0.2500 0.2500
3 Cd 0.7500 0.7500 0.7500

## Properties
Calculated total energy, eV for the cell shown: -2.66
Space-group type: F-43m, No. 216



[8]
This record from the Open Quantum Materials Database describes NaZnCd2 after structural relaxation. The functional is GGA-PBE.

a = 4.9351 Å, b = 4.9351 Å, c = 4.9351 Å
α = 60.00°, β = 60.00°, γ = 60.00°
Atoms (fractional coordinates):
1 Na 0.0000 0.0000 0.0000
2 Zn 0.7500 0.7500 0.7500
3 Cd 0.2500 0.2500 0.2500
4 Cd 0.5000 0.5000 0.5000

## Properties
Calculated total energy, eV for the cell shown: -4.45
Space-group type: F-43m, No. 216



[9]
This record from the Open Quantum Materials Database describes NaZrCd after structural relaxation. The functional is GGA-PBE.

a = 4.7162 Å, b = 4.7162 Å, c = 4.7162 Å
α = 60.00°, β = 60.00°, γ = 60.00°
Atoms (fractional coordinates):
1 Na 0.0000 0.0000 0.0000
2 Zr 0.2500 0.2500 0.2500
3 Cd 0.7500 0.7500 0.7500

## Properties
Calculated total energy, eV for the cell shown: -8.05
Space-group type: F-43m, No. 216



[10]
This record from the Open Quantum Materials Database describes Nb2Cd after structural relaxation. The functional is GGA-PBE.

a = 5.5083 Å, b = 5.5083 Å, c = 5.5083 Å
α = 60.00°, β = 60.00°, γ = 60.00°
Atoms (fractional coordinates):
1 Nb 0.0000 0.0000 0.0000
2 Nb 0.0000 0.0000 0.5000
3 Nb 0.0000 0.5000 0.0000
4 Nb 0.5000 0.0000 0.0000
5 Cd 0.3750 0.3750 0.3750
6 Cd 0.6250 0.6250 0.6250

## Properties
Space-group type: Fd-3m, No. 227
Formation enthalpy at 0 K, meV/atom: 350.2



[11]
This record from the Open Quantum Materials Database describes NbCd2 after structural relaxation. The functional is GGA-PBE.

a = 5.4735 Å, b = 5.4735 Å, c = 5.4735 Å
α = 60.00°, β = 60.00°, γ = 60.00°
Atoms (fractional coordinates):
1 Nb 0.1250 0.1250 0.1250
2 Nb 0.8750 0.8750 0.8750
3 Cd 0.0000 0.5000 0.5000
4 Cd 0.5000 0.0000 0.5000
5 Cd 0.5000 0.5000 0.0000
6 Cd 0.5000 0.5000 0.5000

## Properties
Space-group type: Fd-3m, No. 227
Formation enthalpy at 0 K, meV/atom: 332.9



[12]
This record from the Open Quantum Materials Database describes NdNbCd after structural relaxation. The functional is GGA-PBE.

a = 4.9252 Å, b = 4.9252 Å, c = 4.9252 Å
α = 60.00°, β = 60.00°, γ = 60.00°
Atoms (fractional coordinates):
1 Nd 0.0000 0.0000 0.0000
2 Nb 0.7500 0.7500 0.7500
3 Cd 0.5000 0.5000 0.5000

## Properties
Space-group type: F-43m, No. 216
Formation enthalpy at 0 K, meV/atom: 824.6



[13]
This record from the Open Quantum Materials Database describes NbCdNi after structural relaxation. The functional is GGA-PBE.

a = 4.3134 Å, b = 4.3134 Å, c = 4.3134 Å
α = 60.00°, β = 60.00°, γ = 60.00°
Atoms (fractional coordinates):
1 Nb 0.0000 0.0000 0.0000
2 Cd 0.2500 0.2500 0.2500
3 Ni 0.5000 0.5000 0.5000

## Properties
Space-group type: F-43m, No. 216
Formation enthalpy at 0 K, meV/atom: 941.8



[14]
This record from the Open Quantum Materials Database describes NbCdNi2 after structural relaxation. The functional is GGA-PBE.

a = 4.3837 Å, b = 4.3837 Å, c = 4.3837 Å
α = 60.00°, β = 60.00°, γ = 60.00°
Atoms (fractional coordinates):
1 Nb 0.0000 0.0000 0.0000
2 Cd 0.2500 0.2500 0.2500
3 Ni 0.5000 0.5000 0.5000
4 Ni 0.7500 0.7500 0.7500

## Properties
Space-group type: F-43m, No. 216
Formation enthalpy at 0 K, meV/atom: 226.8



[15]
This record from the Open Quantum Materials Database describes NbCdNi after structural relaxation. The functional is GGA-PBE.

a = 4.3689 Å, b = 4.3689 Å, c = 4.3689 Å
α = 60.00°, β = 60.00°, γ = 60.00°
Atoms (fractional coordinates):
1 Nb 0.0000 0.0000 0.0000
2 Cd 0.7500 0.7500 0.7500
3 Ni 0.2500 0.2500 0.2500

## Properties
Space-group type: F-43m, No. 216
Formation enthalpy at 0 K, meV/atom: 825.2



[16]
This record from the Open Quantum Materials Database describes NbCdNiSb after structural relaxation. The functional is GGA-PBE.

a = 4.6679 Å, b = 4.6679 Å, c = 4.6679 Å
α = 60.00°, β = 60.00°, γ = 60.00°
Atoms (fractional coordinates):
1 Nb 0.0000 0.0000 0.0000
2 Cd 0.7500 0.7500 0.7500
3 Ni 0.5000 0.5000 0.5000
4 Sb 0.2500 0.2500 0.2500

## Properties
Calculated total energy, eV for the cell shown: -19.66
Space-group type: F-43m, No. 216



[17]
This record from the Open Quantum Materials Database describes NbCdNiSn after structural relaxation. The functional is GGA-PBE.

a = 4.6601 Å, b = 4.6601 Å, c = 4.6601 Å
α = 60.00°, β = 60.00°, γ = 60.00°
Atoms (fractional coordinates):
1 Nb 0.0000 0.0000 0.0000
2 Cd 0.7500 0.7500 0.7500
3 Ni 0.5000 0.5000 0.5000
4 Sn 0.2500 0.2500 0.2500

## Properties
Calculated total energy, eV for the cell shown: -19.59
Space-group type: F-43m, No. 216